(1)
{
  "formula": "Pr2CuAs3",
  "functional": "PBE-GGA",
  "state": "relaxed",
  "energy_ev_per_cell": -21.411,
  "dos_at_fermi_per_ev_cell": 9.8,
  "lattice_angstrom": [[8.9892, 0.0000, 0.0000], [0.0000, 8.9892, 0.0000], [0.0000, 0.0000, 15.3527]],
  "species": ["Pr", "Pr", "Cu", "As", "As", "As"],
  "fractional_positions": [[0.0000, 0.0000, 0.1804], [0.0000, 0.0000, 0.8196], [0.0000, 0.0000, 0.5000], [0.0000, 0.0000, 0.0000], [0.0000, 0.0000, 0.3538], [0.0000, 0.0000, 0.6462]]
}


(2)
{
  "formula": "CdFeS2",
  "functional": "PBE-GGA",
  "state": "relaxed",
  "energy_ev_per_cell": -18.651,
  "dos_at_fermi_per_ev_cell": 4.4,
  "e_form_raw_mev_per_atom": -255,
  "lattice_angstrom": [[1.6695, 0.9639, 7.6484], [-1.6695, 0.9639, 7.6484], [0.0000, -1.9278, 7.6484]],
  "species": ["Cd", "Fe", "S", "S"],
  "fractional_positions": [[0.0000, 0.0000, 0.0000], [0.5000, 0.5000, 0.5000], [0.1153, 0.1153, 0.1153], [0.8847, 0.8847, 0.8847]]
}


(3)
{
  "formula": "ScGeAuSe2",
  "functional": "PBE-GGA",
  "state": "relaxed",
  "energy_ev_per_cell": -20.131,
  "dos_at_fermi_per_ev_cell": 4.1,
  "e_form_raw_mev_per_atom": 213,
  "lattice_angstrom": [[5.2140, 0.0000, 0.0000], [0.0000, 5.2140, 0.0000], [0.0000, 0.0000, 4.7816]],
  "species": ["Sc", "Ge", "Au", "Se", "Se"],
  "fractional_positions": [[0.0000, 0.0000, 0.0000], [0.5000, 0.5000, 0.0000], [0.5000, 0.5000, 0.5000], [0.0000, 0.5000, 0.5000], [0.5000, 0.0000, 0.5000]]
}


(4)
{
  "formula": "Rb12Sn3Au5",
  "functional": "PBE-GGA",
  "state": "relaxed",
  "energy_ev_per_cell": -164.964,
  "dos_at_fermi_per_ev_cell": 43.0,
  "lattice_angstrom": [[-10.5206, 10.5206, 10.5206], [10.5206, -10.5206, 10.5206], [10.5206, 10.5206, -10.5206]],
  "species": ["Rb", "Rb", "Rb", "Rb", "Rb", "Rb", "Rb", "Rb", "Rb", "Rb", "Rb", "Rb", "Rb", "Rb", "Rb", "Rb", "Rb", "Rb", "Rb", "Rb", "Rb", "Rb", "Rb", "Rb", "Rb", "Rb", "Rb", "Rb", "Rb", "Rb", "Rb", "Rb", "Rb", "Rb", "Rb", "Rb", "Rb", "Rb", "Rb", "Rb", "Rb", "Rb", "Rb", "Rb", "Rb", "Rb", "Rb", "Rb", "Sn", "Sn", "Sn", "Sn", "Sn", "Sn", "Sn", "Sn", "Sn", "Sn", "Sn", "Sn", "Au", "Au", "Au", "Au", "Au", "Au", "Au", "Au", "Au", "Au", "Au", "Au", "Au", "Au", "Au", "Au", "Au", "Au", "Au", "Au"],
  "fractional_positions": [[0.0474, 0.2196, 0.1326], [0.0474, 0.3277, 0.9147], [0.0853, 0.6326, 0.4130], [0.0853, 0.9526, 0.6723], [0.0870, 0.7196, 0.6723], [0.0870, 0.8674, 0.4147], [0.1326, 0.0474, 0.2196], [0.1326, 0.5853, 0.9130], [0.1723, 0.2196, 0.5870], [0.1723, 0.4526, 0.5853], [0.2196, 0.1326, 0.0474], [0.2196, 0.5870, 0.1723], [0.2804, 0.3277, 0.9130], [0.2804, 0.4526, 0.3674], [0.3277, 0.9130, 0.2804], [0.3277, 0.9147, 0.0474], [0.3674, 0.2804, 0.4526], [0.3674, 0.5870, 0.9147], [0.4130, 0.0853, 0.6326], [0.4130, 0.8277, 0.7804], [0.4147, 0.0870, 0.8674], [0.4147, 0.8277, 0.5474], [0.4526, 0.3674, 0.2804], [0.4526, 0.5853, 0.1723], [0.5474, 0.4147, 0.8277], [0.5474, 0.6326, 0.7196], [0.5853, 0.1723, 0.4526], [0.5853, 0.9130, 0.1326], [0.5870, 0.1723, 0.2196], [0.5870, 0.9147, 0.3674], [0.6326, 0.4130, 0.0853], [0.6326, 0.7196, 0.5474], [0.6723, 0.0853, 0.9526], [0.6723, 0.0870, 0.7196], [0.7196, 0.5474, 0.6326], [0.7196, 0.6723, 0.0870], [0.7804, 0.4130, 0.8277], [0.7804, 0.8674, 0.9526], [0.8277, 0.5474, 0.4147], [0.8277, 0.7804, 0.4130], [0.8674, 0.4147, 0.0870], [0.8674, 0.9526, 0.7804], [0.9130, 0.1326, 0.5853], [0.9130, 0.2804, 0.3277], [0.9147, 0.0474, 0.3277], [0.9147, 0.3674, 0.5870], [0.9526, 0.6723, 0.0853], [0.9526, 0.7804, 0.8674], [0.1250, 0.2500, 0.3750], [0.1250, 0.3750, 0.7500], [0.2500, 0.3750, 0.1250], [0.2500, 0.8750, 0.6250], [0.3750, 0.1250, 0.2500], [0.3750, 0.7500, 0.1250], [0.6250, 0.2500, 0.8750], [0.6250, 0.8750, 0.7500], [0.7500, 0.1250, 0.3750], [0.7500, 0.6250, 0.8750], [0.8750, 0.6250, 0.2500], [0.8750, 0.7500, 0.6250], [0.0000, 0.0000, 0.0000], [0.0000, 0.0000, 0.5000], [0.0000, 0.5000, 0.0000], [0.0000, 0.5000, 0.5000], [0.1250, 0.7500, 0.8750], [0.1250, 0.8750, 0.2500], [0.2500, 0.1250, 0.8750], [0.2500, 0.6250, 0.3750], [0.3750, 0.2500, 0.6250], [0.3750, 0.6250, 0.7500], [0.5000, 0.0000, 0.0000], [0.5000, 0.0000, 0.5000], [0.5000, 0.5000, 0.0000], [0.5000, 0.5000, 0.5000], [0.6250, 0.3750, 0.2500], [0.6250, 0.7500, 0.3750], [0.7500, 0.3750, 0.6250], [0.7500, 0.8750, 0.1250], [0.8750, 0.1250, 0.7500], [0.8750, 0.2500, 0.1250]]
}


(5)
{
  "formula": "BeZnInH6",
  "functional": "PBE-GGA",
  "state": "relaxed",
  "energy_ev_per_cell": -25.751,
  "dos_at_fermi_per_ev_cell": 0.7,
  "lattice_angstrom": [[4.3986, 0.0000, 0.0000], [-2.1993, 3.8093, 0.0000], [0.0000, 0.0000, 4.9248]],
  "species": ["Be", "Zn", "In", "H", "H", "H", "H", "H", "H"],
  "fractional_positions": [[0.0000, 0.0000, 0.0000], [0.6667, 0.3333, 0.0000], [0.3333, 0.6667, 0.5000], [0.3029, 0.0048, 0.2007], [0.3029, 0.2981, 0.7993], [0.7019, 0.0048, 0.7993], [0.7019, 0.6971, 0.2007], [0.9952, 0.2981, 0.2007], [0.9952, 0.6971, 0.7993]]
}


(6)
{
  "formula": "PmPa2Pb",
  "functional": "PBE-GGA",
  "state": "relaxed",
  "energy_ev_per_cell": -27.380,
  "dos_at_fermi_per_ev_cell": 7.7,
  "polymorph_energy_kj_per_mol_atoms": 0.0,
  "lattice_angstrom": [[4.5356, 0.0000, 0.0000], [0.0000, 4.5356, 0.0000], [0.0000, 0.0000, 5.2523]],
  "species": ["Pm", "Pa", "Pa", "Pb"],
  "fractional_positions": [[0.0000, 0.0000, 0.0000], [0.0000, 0.5000, 0.5000], [0.5000, 0.0000, 0.5000], [0.5000, 0.5000, 0.0000]]
}


(7)
{
  "formula": "YMnRe",
  "functional": "PBE-GGA",
  "state": "relaxed",
  "energy_ev_per_cell": -23.196,
  "dos_at_fermi_per_ev_cell": 4.6,
  "polymorph_energy_kj_per_mol_atoms": 163.3,
  "lattice_angstrom": [[0.0000, 3.2564, 3.2564], [3.2564, 0.0000, 3.2564], [3.2564, 3.2564, 0.0000]],
  "species": ["Y", "Mn", "Re"],
  "fractional_positions": [[0.0000, 0.0000, 0.0000], [0.7500, 0.7500, 0.7500], [0.2500, 0.2500, 0.2500]]
}